Record 1
The following is a PBE calculation of MgZnTc2 after structural relaxation, from Alexandria.

Output
ΔE_f: 1.233 eV/f.u.
Total magnetic moment: 0.0 μB per cell

Cell lengths 3.3045, 3.3045, 5.8521 Å; angles 90.00, 90.00, 90.00 degrees
Last column: nearest neighbours and their distance in Å.
Space group P4/mmm (No. 123)
Unique sites:
1 Mg 0.0000 0.0000 0.0000  8 Tc 2.92, 2 Zn 2.93
2 Zn 0.0000 0.0000 0.5000  8 Tc 2.61, 2 Mg 2.93
3 Tc 0.5000 0.5000 0.3003  1 Tc 2.34, 4 Zn 2.61

---

Record 2
The following is a PBE calculation of Sc3ZnRh after structural relaxation, from Alexandria.

Output
ΔE_f: -2.605 eV/f.u.
Total magnetic moment: 0.0 μB per cell

Cell lengths 4.6474, 17.9381, 4.6420 Å; angles 90.00, 90.00, 90.00 degrees
Last column: nearest neighbours and their distance in Å.
Space group Cmcm (No. 63)
Unique sites:
1 Sc 0.0000 0.0693 0.2500  2 Rh 2.81, 2 Zn 2.81
2 Sc 0.0000 0.2503 0.2500  4 Zn 2.85, 4 Rh 2.85-2.86
3 Sc 0.0000 0.4314 0.2500  2 Rh 2.81, 2 Zn 2.82
4 Zn 0.0000 0.1579 0.7500  8 Sc 2.81-2.85
5 Rh 0.0000 0.3427 0.7500  8 Sc 2.81-2.86

---

Record 3
The following is a PBE calculation of Pm2CuSi3Au4 after structural relaxation, from Alexandria.

Output
Formation energy from raw total energies: -0.56 eV per atom
Total magnetic moment: 0.0 μB per cell

Cell lengths 4.3620, 4.3620, 10.1491 Å; angles 90.00, 90.00, 90.00 degrees
Last column: nearest neighbours and their distance in Å.
Space group P-4m2 (No. 115)
Unique sites:
1 Pm 0.0000 0.5000 0.2478  6 Si 3.30-3.33, 8 Au 3.32-3.36, 2 Cu 3.33
2 Cu 0.5000 0.5000 0.0000  4 Au 2.53
3 Si 0.0000 0.0000 0.0000  4 Au 2.53
4 Si 0.0000 0.5000 0.6352  5 Au 2.41-2.58
5 Au 0.0000 0.0000 0.5000  4 Si 2.58
6 Au 0.0000 0.5000 0.8728  3 Si 2.41-2.53, 2 Cu 2.53
7 Au 0.5000 0.5000 0.5000  4 Si 2.58

---

Record 4
The following is a PBE calculation of Tc4IrW after structural relaxation, from Alexandria.

Output
ΔE_f: 1.444 eV/f.u.
Total magnetic moment: 0.0 μB per cell

Cell lengths 7.1586, 7.1586, 7.1586 Å; angles 90.00, 90.00, 90.00 degrees
Last column: nearest neighbours and their distance in Å.
Space group F-43m (No. 216)
Unique sites:
1 Tc 0.1238 0.1238 0.3762  6 Tc 2.51-2.55
2 Ir 0.2500 0.2500 0.7500  12 Tc 2.97, 4 W 3.10
3 W 0.0000 0.0000 0.0000  12 Tc 2.97, 4 Ir 3.10

---

no.,total energy (eV/atom)
1,-5.592
2,-6.045
3,-4.855
4,-10.306